(1)
The following is a DFT calculation (PBE) of Ni2Ir3 after structural relaxation.

Calculated values
**Calculated formation energy**: 0.116 eV/atom
**Total magnetic moment**: 0.00 μB/f.u.
**Density of states at the Fermi level**: 7.91 states/eV/f.u.
**Polymorph energy (0 for the lowest one)**: 0 meV/atom

a b c (Å): 6.780 5.029 7.752
angles (deg): 59.63 39.79 80.58
Fractional positions:
Ni (0.024, 0.476, 0.067)
Ni (0.183, 0.817, 0.226)
Ni (0.476, 0.024, 0.433)
Ni (0.817, 0.183, 0.774)
Ir (0.049, 0.049, 0.951)
Ir (0.299, 0.299, 0.201)
Ir (0.485, 0.594, 0.319)
Ir (0.594, 0.485, 0.602)
Ir (0.648, 0.931, 0.656)
Ir (0.931, 0.648, 0.765)

(2)
The following is a DFT calculation (PBE) of Rb5IrO6 after structural relaxation.

Calculated values
**Total magnetic moment**: 2.02 μB/f.u.
**Density of states at the Fermi level**: 7.92 states/eV/f.u.
**Formation energy without anion corrections**: -1.1347 eV/atom

a b c (Å): 6.716 6.716 6.538
angles (deg): 100.15 100.15 119.83
Fractional positions:
Rb (0.000, 0.000, 0.000)
Rb (0.168, 0.832, 0.500)
Rb (0.339, 0.661, 0.000)
Rb (0.661, 0.339, 0.000)
Rb (0.832, 0.168, 0.500)
Ir (0.500, 0.500, 0.500)
O (0.201, 0.438, 0.313)
O (0.323, 0.323, 0.682)
O (0.438, 0.201, 0.313)
O (0.562, 0.799, 0.687)
O (0.677, 0.677, 0.318)
O (0.799, 0.562, 0.687)

(3)
The following is a DFT calculation (PBE) of Ac2CuRu after structural relaxation.

Calculated values
**Calculated formation energy**: -0.050 eV/atom
**Total magnetic moment**: 0.00 μB/f.u.
**Density of states at the Fermi level**: 3.19 states/eV/f.u.

a b c (Å): 7.461 7.461 7.461
angles (deg): 90.00 90.00 90.00
Fractional positions:
Ac (0.250, 0.250, 0.250)
Ac (0.250, 0.250, 0.750)
Ac (0.250, 0.750, 0.250)
Ac (0.250, 0.750, 0.750)
Ac (0.750, 0.250, 0.250)
Ac (0.750, 0.250, 0.750)
Ac (0.750, 0.750, 0.250)
Ac (0.750, 0.750, 0.750)
Cu (0.000, 0.000, 0.000)
Cu (0.000, 0.500, 0.500)
Cu (0.500, 0.000, 0.500)
Cu (0.500, 0.500, 0.000)
Ru (0.000, 0.000, 0.500)
Ru (0.000, 0.500, 0.000)
Ru (0.500, 0.000, 0.000)
Ru (0.500, 0.500, 0.500)

Copy entry 3 word for word.
The following is a DFT calculation (PBE) of Ac2CuRu after structural relaxation.

Calculated values
**Calculated formation energy**: -0.050 eV/atom
**Total magnetic moment**: 0.00 μB/f.u.
**Density of states at the Fermi level**: 3.19 states/eV/f.u.

a b c (Å): 7.461 7.461 7.461
angles (deg): 90.00 90.00 90.00
Fractional positions:
Ac (0.250, 0.250, 0.250)
Ac (0.250, 0.250, 0.750)
Ac (0.250, 0.750, 0.250)
Ac (0.250, 0.750, 0.750)
Ac (0.750, 0.250, 0.250)
Ac (0.750, 0.250, 0.750)
Ac (0.750, 0.750, 0.250)
Ac (0.750, 0.750, 0.750)
Cu (0.000, 0.000, 0.000)
Cu (0.000, 0.500, 0.500)
Cu (0.500, 0.000, 0.500)
Cu (0.500, 0.500, 0.000)
Ru (0.000, 0.000, 0.500)
Ru (0.000, 0.500, 0.000)
Ru (0.500, 0.000, 0.000)
Ru (0.500, 0.500, 0.500)

- What is the density of states at the Fermi level in the second record?
  7.92 states/eV/f.u.

- Which of these has the highest total magnetic moment?
  Rb5IrO6